## Th8P3AuSe4 (PBE)

Data for a relaxed Th8P3AuSe4 crystal.

```
Th8P3AuSe4
1.0
4.195 2.422 6.901
-4.195 2.422 6.901
0.000 -4.844 6.901
Th P Au Se
8 3 1 4
Cartesian
-2.154 -1.244 11.983 Th
0.000 0.000 5.034 Th
0.000 -2.488 8.720 Th
-2.154 1.244 8.720 Th
2.154 -1.244 11.983 Th
0.000 2.488 11.983 Th
0.000 0.000 15.669 Th
2.154 1.244 8.720 Th
-4.195 0.000 10.352 P
-2.098 1.211 3.451 P
2.098 1.211 3.451 P
0.000 0.000 10.352 Au
0.000 0.000 0.000 Se
-2.098 -1.211 6.901 Se
-2.098 1.211 13.802 Se
0.000 2.422 6.901 Se
```

## Properties
Its energy is -7.249 eV per atom.